(1)
This record from Alexandria describes Ba3YPd2O6 after structural relaxation. The functional is PBE.

CIF file:
```
data_Ba3YPd2O6
_chemical_formula_sum 'Ba3 Y1 Pd2 O6'
_cell_length_a 6.1437
_cell_length_b 6.1437
_cell_length_c 6.8868
_cell_angle_alpha 90.00
_cell_angle_beta 90.00
_cell_angle_gamma 120.00
_space_group_name_H-M_alt 'P -3 m 1'
_space_group_IT_number 164
_space_group_name_Hall '-P 3 2"'
loop_
_atom_site_label
_atom_site_fract_x
_atom_site_fract_y
_atom_site_fract_z
Ba1 0.0000 0.0000 0.0000
Ba2 0.3333 0.6667 0.6384
Y1 0.0000 0.0000 0.5000
Pd1 0.3333 0.6667 0.1456
O1 0.1672 0.3345 0.3072
```

Calculated values
The energy relative to the elements, uncorrected comes out at -41.76 kcal/mol of atoms. The total energy is -6.175 eV/atom.

***

(2)
This record from Alexandria describes BaY2PdO5 after structural relaxation. The functional is PBE.

CIF file:
```
data_BaY2PdO5
_chemical_formula_sum 'Ba2 Y4 Pd2 O10'
_cell_length_a 6.597
_cell_length_b 6.597
_cell_length_c 5.932
_cell_angle_alpha 90.00
_cell_angle_beta 90.00
_cell_angle_gamma 90.00
_space_group_name_H-M_alt 'P 4/m b m'
_space_group_IT_number 127
_space_group_name_Hall '-P 4 2ab'
loop_
_atom_site_label
_atom_site_fract_x
_atom_site_fract_y
_atom_site_fract_z
Ba1 0.000 0.000 0.000
Y1 0.174 0.326 0.500
Pd1 0.000 0.500 0.000
O1 0.000 0.000 0.500
O2 0.140 0.640 0.260
```

Calculated values
The energy relative to the elements, uncorrected comes out at -61.00 kcal/mol of atoms. The total energy is -7.627 eV/atom.

***

(3)
This record from Alexandria describes Ba3YPd2O9 after structural relaxation. The functional is PBE.

CIF file:
```
data_Ba3YPd2O9
_chemical_formula_sum 'Ba3 Y1 Pd2 O9'
_cell_length_a 5.8996
_cell_length_b 5.8996
_cell_length_c 7.2987
_cell_angle_alpha 90.00
_cell_angle_beta 90.00
_cell_angle_gamma 120.00
_space_group_name_H-M_alt 'P -3 m 1'
_space_group_IT_number 164
_space_group_name_Hall '-P 3 2"'
loop_
_atom_site_label
_atom_site_fract_x
_atom_site_fract_y
_atom_site_fract_z
Ba1 0.0000 0.0000 0.0000
Ba2 0.3333 0.6667 0.6849
Y1 0.0000 0.0000 0.5000
Pd1 0.3333 0.6667 0.1645
O1 0.0000 0.5000 0.0000
O2 0.1748 0.3496 0.3209
```

Calculated values
The energy relative to the elements, uncorrected comes out at -42.09 kcal/mol of atoms. The total energy is -6.308 eV/atom.

***

(4)
This record from Alexandria describes Ba2ZnPdO4 after structural relaxation. The functional is PBE.

CIF file:
```
data_Ba2ZnPdO4
_chemical_formula_sum 'Ba4 Zn2 Pd2 O8'
_cell_length_a 6.310
_cell_length_b 6.310
_cell_length_c 6.691
_cell_angle_alpha 90.00
_cell_angle_beta 90.00
_cell_angle_gamma 90.00
_space_group_name_H-M_alt 'I -4'
_space_group_IT_number 82
loop_
_space_group_symop_operation_xyz
'x,y,z'
'y,-x,-z'
'-x,-y,z'
'-y,x,-z'
'x+1/2,y+1/2,z+1/2'
'y+1/2,-x+1/2,-z+1/2'
'-x+1/2,-y+1/2,z+1/2'
'-y+1/2,x+1/2,-z+1/2'
loop_
_atom_site_label
_atom_site_fract_x
_atom_site_fract_y
_atom_site_fract_z
Ba1 0.000 0.000 0.000
Ba2 0.000 0.500 0.250
Zn1 0.000 0.000 0.500
Pd1 0.000 0.500 0.750
O1 0.151 0.787 0.681
```

Calculated values
The energy relative to the elements, uncorrected comes out at -37.59 kcal/mol of atoms. The total energy is -5.398 eV/atom.